Entry 1:
# LiCuSe2

A relaxed LiCuSe2 crystal (PBE-GGA, Alexandria).

Results
total magnetic moment = 0.000 μB/atom
ΔE_f (raw) = -0.3211 eV per atom
raw total energy = -3.5659 eV/atom

Cell: 3.316 3.316 7.447 Å, 90.00 90.00 90.00°
Space group P4mm (No. 99)
Inequivalent atoms, fractional coordinates:
Li 0.000 0.000 0.000 x1
Cu 0.500 0.500 0.796 x1
Se 0.000 0.000 0.658 x1
Se 0.500 0.500 0.135 x1


Entry 2:
# LiCu5Se4

A relaxed LiCu5Se4 crystal (PBE-GGA, Alexandria).

Results
total magnetic moment = 0.000 μB/atom
ΔE_f (raw) = -0.2359 eV per atom
raw total energy = -3.8692 eV/atom

Cell: 8.085 8.327 5.535 Å, 90.00 90.00 90.00°
Space group Pmmn (No. 59, origin choice 2)
Inequivalent atoms, fractional coordinates:
Li 0.250 0.250 0.226 x2
Cu 0.005 0.004 0.746 x8
Cu 0.250 0.750 0.740 x2
Se 0.000 0.250 0.503 x4
Se 0.250 0.516 0.008 x4


Entry 3:
# LiCu2Se

A relaxed LiCu2Se crystal (PBE-GGA, Alexandria).

Results
total magnetic moment = 0.000 μB/atom
ΔE_f (raw) = -0.1787 eV per atom
raw total energy = -3.5764 eV/atom

Cell: 2.778 3.740 5.783 Å, 90.00 102.85 90.00°
Space group Pm (No. 6)
Inequivalent atoms, fractional coordinates:
Li 0.000 0.000 0.000 x1
Cu 0.370 0.500 0.734 x1
Cu 0.774 0.000 0.540 x1
Se 0.598 0.500 0.208 x1